1.
{
  "formula": "DyCo3",
  "functional": "PBE",
  "state": "relaxed",
  "lattice_angstrom": [[5.768, 0.000, 0.000], [-2.884, 4.995, 0.000], [0.000, 0.000, 4.155]],
  "species": ["Co", "Co", "Dy", "Co", "Co", "Co", "Co", "Dy"],
  "fractional_positions": [[0.863, 0.137, 0.750], [0.273, 0.137, 0.750], [0.333, 0.667, 0.750], [0.137, 0.273, 0.250], [0.863, 0.727, 0.750], [0.727, 0.863, 0.250], [0.137, 0.863, 0.250], [0.667, 0.333, 0.250]],
  "crystal_system": "hexagonal",
  "density_g_cm3": 9.4,
  "relative_energy_mev_per_atom": 229.2,
  "formation_energy_ev_per_atom": 0.05
}


2.
{
  "formula": "NbSbF8",
  "functional": "PBE",
  "state": "relaxed",
  "lattice_angstrom": [[-3.892, -2.069, -2.704], [4.132, -0.144, -5.837], [2.723, -5.815, 2.071]],
  "species": ["F", "F", "F", "F", "F", "Nb", "F", "F", "F", "Nb", "F", "F", "Sb", "F", "F", "F", "Sb", "F", "F", "F"],
  "fractional_positions": [[0.932, 0.750, 0.512], [0.740, 0.440, 0.202], [0.523, 0.250, 0.915], [0.573, 0.250, 0.500], [0.260, 0.560, 0.798], [0.475, 0.250, 0.199], [0.740, 0.060, 0.202], [0.708, 0.520, 0.706], [0.876, 0.750, 0.940], [0.525, 0.750, 0.801], [0.292, 0.480, 0.294], [0.260, 0.940, 0.798], [0.107, 0.750, 0.276], [0.068, 0.250, 0.488], [0.427, 0.750, 0.500], [0.292, 0.020, 0.294], [0.893, 0.250, 0.724], [0.477, 0.750, 0.085], [0.124, 0.250, 0.060], [0.708, 0.980, 0.706]],
  "crystal_system": "monoclinic",
  "density_g_cm3": 4.9,
  "total_energy_ev_per_atom": -5.5092
}


3.
{
  "formula": "TaGaSO2",
  "functional": "PBE",
  "state": "relaxed",
  "lattice_angstrom": [[1.168, 3.764, 0.193], [-3.391, 1.137, -1.666], [-2.074, 0.411, 4.505]],
  "species": ["O", "Ta", "O", "Ga", "S"],
  "fractional_positions": [[0.497, 0.998, 0.497], [0.498, 0.498, 0.497], [0.998, 0.497, 0.497], [0.000, 0.000, 0.000], [0.500, 0.500, 0.997]],
  "crystal_system": "monoclinic",
  "density_g_cm3": 6.7,
  "total_energy_ev_per_atom": -7.4021
}


4.
{
  "formula": "Np2S3",
  "functional": "PBE",
  "state": "relaxed",
  "lattice_angstrom": [[10.517, 0.000, 0.000], [0.000, 3.862, 0.000], [0.000, 0.000, 10.308]],
  "species": ["Np", "Np", "S", "S", "Np", "Np", "S", "Np", "S", "Np", "Np", "S", "S", "S", "S", "S", "Np", "S", "S", "S"],
  "fractional_positions": [[0.314, 0.250, 0.491], [0.186, 0.750, 0.991], [0.051, 0.250, 0.131], [0.626, 0.750, 0.945], [0.493, 0.250, 0.817], [0.007, 0.750, 0.317], [0.551, 0.250, 0.369], [0.814, 0.250, 0.009], [0.271, 0.750, 0.296], [0.686, 0.750, 0.509], [0.993, 0.250, 0.683], [0.874, 0.250, 0.445], [0.449, 0.750, 0.631], [0.949, 0.750, 0.869], [0.771, 0.750, 0.204], [0.229, 0.250, 0.796], [0.507, 0.750, 0.183], [0.126, 0.750, 0.555], [0.729, 0.250, 0.704], [0.374, 0.250, 0.055]],
  "crystal_system": "orthorhombic",
  "density_g_cm3": 9.0,
  "total_energy_ev_per_atom": -9.1249
}


Repeat the first record exactly.
{
  "formula": "DyCo3",
  "functional": "PBE",
  "state": "relaxed",
  "lattice_angstrom": [[5.768, 0.000, 0.000], [-2.884, 4.995, 0.000], [0.000, 0.000, 4.155]],
  "species": ["Co", "Co", "Dy", "Co", "Co", "Co", "Co", "Dy"],
  "fractional_positions": [[0.863, 0.137, 0.750], [0.273, 0.137, 0.750], [0.333, 0.667, 0.750], [0.137, 0.273, 0.250], [0.863, 0.727, 0.750], [0.727, 0.863, 0.250], [0.137, 0.863, 0.250], [0.667, 0.333, 0.250]],
  "crystal_system": "hexagonal",
  "density_g_cm3": 9.4,
  "relative_energy_mev_per_atom": 229.2,
  "formation_energy_ev_per_atom": 0.05
}


> What is the formula in the fourth record?

Np2S3